[1]
Entry from the Alexandria database: a relaxed Tb6P2S3N crystal (PBE-GGA).

Geometry as POSCAR:
```
Tb6P2S3N
1.0
8.5533 -1.9359 0.0000
8.5533 1.9359 0.0000
-1.9087 0.0000 7.6297
Tb P S N
6 2 3 1
direct
0.0004 0.0004 0.2181
0.9996 0.9996 0.7819
0.3336 0.3336 0.4201
0.3505 0.3505 0.9227
0.6495 0.6495 0.0773
0.6664 0.6664 0.5799
0.1655 0.1655 0.3308
0.8345 0.8345 0.6692
0.1686 0.1686 0.8365
0.5000 0.5000 0.5000
0.8314 0.8314 0.1635
0.5000 0.5000 0.0000
```

Calculated values
Spin magnetization = 0.00 μB/cell
Final energy = -0.24881 hartree per atom

[2]
Entry from the Alexandria database: a relaxed CrTcIrOs crystal (PBE-GGA).

Geometry as POSCAR:
```
CrTcIrOs
1.0
-1.3471 2.0918 5.3965
1.3471 -2.0918 5.3965
1.3471 2.0918 -5.3965
Cr Tc Ir Os
1 1 1 1
direct
0.0000 0.0000 0.0000
0.6447 0.1447 0.5000
0.4266 0.4266 0.0000
0.2189 0.7189 0.5000
```

Calculated values
Spin magnetization = 0.00 μB/cell
Formation energy = 0.240 eV per atom
Final energy = -0.35940 hartree per atom

[3]
Entry from the Alexandria database: a relaxed SmEuCuGe crystal (PBE-GGA).

Geometry as POSCAR:
```
SmEuCuGe
1.0
0.0000 3.6325 3.6325
3.6325 0.0000 3.6325
3.6325 3.6325 0.0000
Sm Eu Cu Ge
1 1 1 1
direct
0.0000 0.0000 0.0000
0.5000 0.5000 0.5000
0.2500 0.2500 0.2500
0.7500 0.7500 0.7500
```

Calculated values
Spin magnetization = 7.22 μB/cell
Formation energy = -0.439 eV per atom
Final energy = -0.23394 hartree per atom

[4]
Entry from the Alexandria database: a relaxed TaGeOs2 crystal (PBE-GGA).

Geometry as POSCAR:
```
TaGeOs2
1.0
-2.8773 2.8773 5.5100
2.8773 -2.8773 5.5100
2.8773 2.8773 -5.5100
Ta Ge Os
2 2 4
direct
0.0000 0.0000 0.0000
0.7500 0.2500 0.5000
0.2500 0.7500 0.5000
0.5000 0.5000 0.0000
0.1407 0.6250 0.0157
0.3750 0.3907 0.5157
0.6093 0.1250 0.9843
0.8750 0.8593 0.4843
```

Calculated values
Spin magnetization = 0.00 μB/cell
Formation energy = 1.041 eV per atom
Final energy = -0.31940 hartree per atom

[5]
Entry from the Alexandria database: a relaxed Li3InGa3 crystal (PBE-GGA).

Geometry as POSCAR:
```
Li3InGa3
1.0
7.0378 0.0000 0.0000
0.0000 7.0378 0.0000
0.0000 0.0000 7.0378
Li In Ga
6 2 6
direct
0.0000 0.2500 0.5000
0.0000 0.7500 0.5000
0.2500 0.5000 0.0000
0.5000 0.0000 0.2500
0.5000 0.0000 0.7500
0.7500 0.5000 0.0000
0.0000 0.0000 0.0000
0.5000 0.5000 0.5000
0.0000 0.5000 0.2500
0.0000 0.5000 0.7500
0.2500 0.0000 0.5000
0.5000 0.2500 0.0000
0.5000 0.7500 0.0000
0.7500 0.0000 0.5000
```

Calculated values
Spin magnetization = 0.00 μB/cell
Formation energy = 0.375 eV per atom
Final energy = -0.07840 hartree per atom

[6]
Entry from the Alexandria database: a relaxed MnS4 crystal (PBE-GGA).

Geometry as POSCAR:
```
MnS4
1.0
3.0186 -1.6763 0.0000
3.0186 1.6763 0.0000
-1.7417 0.0000 10.7654
Mn S
1 4
direct
0.0000 0.0000 0.0000
0.2327 0.2327 0.4413
0.2959 0.2959 0.8805
0.7041 0.7041 0.1195
0.7673 0.7673 0.5587
```

Calculated values
Spin magnetization = 2.94 μB/cell
Energy above the lowest structure with this stoichiometry = 0.0 kJ per mole of atoms
Final energy = -0.19387 hartree per atom

[7]
Entry from the Alexandria database: a relaxed InNiHg2 crystal (PBE-GGA).

Geometry as POSCAR:
```
InNiHg2
1.0
0.0000 3.4409 3.4409
3.4409 0.0000 3.4409
3.4409 3.4409 0.0000
In Ni Hg
1 1 2
direct
0.0000 0.0000 0.0000
0.2500 0.2500 0.2500
0.5000 0.5000 0.5000
0.7500 0.7500 0.7500
```

Calculated values
Spin magnetization = 0.00 μB/cell
Formation energy = 0.316 eV per atom
Final energy = -0.07219 hartree per atom

[8]
Entry from the Alexandria database: a relaxed SrAlCd2 crystal (PBE-GGA).

Geometry as POSCAR:
```
SrAlCd2
1.0
4.0833 -2.3562 0.0000
4.0833 2.3562 0.0000
-2.7113 0.0000 5.7801
Sr Al Cd
1 1 2
direct
0.0000 0.0000 0.0000
0.5000 0.5000 0.5000
0.2138 0.2138 0.6409
0.7862 0.7862 0.3591
```

Calculated values
Spin magnetization = 0.00 μB/cell
Formation energy = -0.162 eV per atom
Final energy = -0.07259 hartree per atom

[9]
Entry from the Alexandria database: a relaxed InPtPb crystal (PBE-GGA).

Geometry as POSCAR:
```
InPtPb
1.0
-1.7001 1.7001 6.0850
1.7001 -1.7001 6.0850
1.7001 1.7001 -6.0850
In Pt Pb
1 1 1
direct
0.0000 0.0000 0.0000
0.6236 0.6236 0.0000
0.2793 0.2793 0.0000
```

Calculated values
Spin magnetization = 0.00 μB/cell
Formation energy = -0.171 eV per atom
Final energy = -0.15927 hartree per atom

[10]
Entry from the Alexandria database: a relaxed Ce4ThTe5 crystal (PBE-GGA).

Geometry as POSCAR:
```
Ce4ThTe5
1.0
-2.2410 2.2410 15.8316
2.2410 -2.2410 15.8316
2.2410 2.2410 -15.8316
Ce Th Te
4 1 5
direct
0.0993 0.0993 0.0000
0.2997 0.2997 0.0000
0.7003 0.7003 0.0000
0.9007 0.9007 0.0000
0.5000 0.5000 0.0000
0.0000 0.0000 0.0000
0.1996 0.1996 0.0000
0.3996 0.3996 0.0000
0.6004 0.6004 0.0000
0.8004 0.8004 0.0000
```

Calculated values
Spin magnetization = 4.42 μB/cell
Final energy = -0.21970 hartree per atom

[11]
Entry from the Alexandria database: a relaxed TbIn6Pd3 crystal (PBE-GGA).

Geometry as POSCAR:
```
TbIn6Pd3
1.0
9.1833 0.0000 0.0000
0.0000 4.5312 0.0000
-1.6362 0.0000 10.4443
Tb In Pd
2 12 6
direct
0.0771 0.2500 0.2575
0.9229 0.7500 0.7425
0.0947 0.2500 0.6089
0.1458 0.7500 0.0364
0.2901 0.7500 0.7625
0.3489 0.7500 0.2960
0.3792 0.2500 0.4940
0.4475 0.2500 0.9052
0.5525 0.7500 0.0948
0.6208 0.7500 0.5060
0.6511 0.2500 0.7040
0.7099 0.2500 0.2375
0.8542 0.2500 0.9636
0.9053 0.7500 0.3911
0.1376 0.2500 0.8793
0.1916 0.7500 0.4979
0.3756 0.2500 0.1479
0.6244 0.7500 0.8521
0.8084 0.2500 0.5021
0.8624 0.7500 0.1207
```

Calculated values
Spin magnetization = 0.00 μB/cell
Formation energy = -0.441 eV per atom
Final energy = -0.15087 hartree per atom

[12]
Entry from the Alexandria database: a relaxed ZnCo2Cl crystal (PBE-GGA).

Geometry as POSCAR:
```
ZnCo2Cl
1.0
2.8892 0.0000 0.0000
0.0000 2.9534 0.0000
0.0000 0.0000 6.9730
Zn Co Cl
1 2 1
direct
0.0000 0.0000 0.0000
0.0000 0.0000 0.5983
0.5000 0.5000 0.7868
0.5000 0.0000 0.3336
```

Calculated values
Spin magnetization = 3.27 μB/cell
Energy above the lowest structure with this stoichiometry = 0.0 kJ per mole of atoms
Final energy = -0.15638 hartree per atom